# Ba3Ca7

A relaxed structure of Ba3Ca7 (GGA-PBE, the Alexandria database).

Unit cell a=5.827 b=8.142 c=10.789 alpha=101.50 beta=105.67 gamma=90.00
Sites, in units of the cell vectors:
Ca (0.602, 0.806, 0.203)
Ca (0.199, 0.098, 0.397)
Ca (0.595, 0.304, 0.191)
Ca (0.398, 0.194, 0.797)
Ca (0.801, 0.902, 0.603)
Ca (0.000, 0.500, 0.000)
Ca (0.405, 0.696, 0.809)
Ba (0.801, 0.391, 0.601)
Ba (0.000, 0.000, 0.000)
Ba (0.199, 0.609, 0.399)

- total moment (μB/cell) = 0.000
- ΔH_f (0 K) (eV/atom) = 0.035
- raw total energy (eV/atom) = -1.943